(1)
VASP calculation (PBE) on an optimized crystal structure of Na2FeIrOs.

Properties
DFT formation energy: 1.88 eV/atom
mass density: 8.12 g/cm3

Unit cell a=4.617 b=4.617 c=4.646 alpha=90.00 beta=90.00 gamma=90.00
Space group P4/mmm (No. 123)
One atom of each set of equivalent atoms:
Na1 0.000 0.500 0.000
Fe1 0.000 0.000 0.000
Ir1 0.000 0.000 0.500
Os1 0.500 0.500 0.500

---

(2)
VASP calculation (PBE) on an optimized crystal structure of NaFePIr.

Properties
DFT formation energy: -0.05 eV/atom
mass density: 7.00 g/cm3

Unit cell a=3.572 b=3.572 c=11.227 alpha=90.00 beta=90.00 gamma=90.00
Space group P4/nmm (No. 129, origin choice 2)
One atom of each set of equivalent atoms:
Na1 0.250 0.250 0.230
Fe1 0.250 0.750 0.500
P1 0.250 0.250 0.616
Ir1 0.250 0.750 0.000